VASP calculation (GGA-PBEsol) on a relaxed structure of Zr2PtAu.

a = 2.949 Å, b = 4.809 Å, c = 5.161 Å
α = 90.00°, β = 93.34°, γ = 90.00°
Element x y z (fractional)
Zr (0.000, 0.000, 0.000)
Zr (0.103, 0.500, 0.601)
Pt (0.565, 0.000, 0.486)
Au (0.540, 0.500, 0.124)

Computed properties:
DFT formation energy   -73.7 kJ/mol of atoms
DOS(E_F)   2.52 states/eV per cell
SG   Pm, No. 6